Computed, not measured: a geometry-optimized KCaAu2 structure at the PBE level of DFT.

a b c (Å): 4.691 4.177 11.757
angles (deg): 90.00 90.00 90.00
Space group Amm2 (No. 38)
Inequivalent atoms, fractional coordinates:
K1 0.000 0.000 0.000 [2 per cell]
Ca1 0.500 0.000 0.278 [2 per cell]
Au1 0.000 0.000 0.727 [2 per cell]
Au2 0.500 0.000 0.578 [2 per cell]

## Properties
V ... 28.795 Å³ per atom
Formation enthalpy at 0 K ... -491 meV per atom
Mass density ... 6.82 g/cm3

***

Computed, not measured: a geometry-optimized Cs3Pu3PtS8 structure at the PBE level of DFT.

a b c (Å): 8.0138 8.0138 24.5028
angles (deg): 90.00 90.00 120.00
Space group R-3m (No. 166, hexagonal axes)
Inequivalent atoms, fractional coordinates:
Cs1 0.0000 0.5000 0.0000 [9 per cell]
Pu1 0.0000 0.5000 0.5000 [9 per cell]
Pt1 0.0000 0.0000 0.5000 [3 per cell]
S1 0.0000 0.0000 0.2267 [6 per cell]
S2 0.0283 0.5141 0.2221 [18 per cell]

## Properties
V ... 30.284 Å³ per atom
Mass density ... 5.78 g/cm3
Formation energy (no corrections) ... -120.60 kJ/mol of atoms

***

Computed, not measured: a geometry-optimized K2GaF6 structure at the PBE level of DFT.

a b c (Å): 5.9098 5.9098 9.4631
angles (deg): 90.00 90.00 120.00
Space group P6_3mc (No. 186)
Inequivalent atoms, fractional coordinates:
K1 0.0000 0.0000 0.0000 [2 per cell]
K2 0.3333 0.6667 0.2756 [2 per cell]
Ga1 0.3333 0.6667 0.6663 [2 per cell]
F1 0.0327 0.5164 0.5438 [6 per cell]
F2 0.1751 0.3502 0.7719 [6 per cell]

## Properties
V ... 15.902 Å³ per atom
Mass density ... 3.04 g/cm3
ΔE to the lowest computed polymorph ... 0 meV per atom
Formation energy (no corrections) ... -235.89 kJ/mol of atoms

***

Computed, not measured: a geometry-optimized Hg2IrSe structure at the PBE level of DFT.

a b c (Å): 6.798 6.798 6.798
angles (deg): 90.00 90.00 90.00
Space group F-43m (No. 216)
Inequivalent atoms, fractional coordinates:
Hg1 0.000 0.000 0.000 [4 per cell]
Hg2 0.250 0.250 0.250 [4 per cell]
Ir1 0.000 0.000 0.500 [4 per cell]
Se1 0.250 0.250 0.750 [4 per cell]

## Properties
V ... 19.639 Å³ per atom
Mass density ... 14.21 g/cm3
Formation energy (no corrections) ... 64.02 kJ/mol of atoms

***

Computed, not measured: a geometry-optimized MgScTi4 structure at the PBE level of DFT.

a b c (Å): 7.805 7.805 7.805
angles (deg): 90.00 90.00 90.00
Space group F-43m (No. 216)
Inequivalent atoms, fractional coordinates:
Mg1 0.000 0.000 0.000 [4 per cell]
Sc1 0.250 0.250 0.250 [4 per cell]
Ti1 0.122 0.122 0.622 [16 per cell]

## Properties
V ... 19.811 Å³ per atom
Formation enthalpy at 0 K ... 211 meV per atom
Mass density ... 3.64 g/cm3

***

Computed, not measured: a geometry-optimized TbErTe2 structure at the PBE level of DFT.

a b c (Å): 4.1951 4.1951 22.8960
angles (deg): 90.00 90.00 120.00
Space group R3m (No. 160, hexagonal axes)
Inequivalent atoms, fractional coordinates:
Tb1 0.0000 0.0000 0.0000 [3 per cell]
Er1 0.0000 0.0000 0.1733 [3 per cell]
Te1 0.0000 0.0000 0.5843 [3 per cell]
Te2 0.0000 0.0000 0.7555 [3 per cell]

## Properties
V ... 29.080 Å³ per atom
Mass density ... 8.30 g/cm3
ΔE to the lowest computed polymorph ... 0 meV per atom
Formation energy (no corrections) ... -124.82 kJ/mol of atoms